Material: Ca12Sn5F2
Method: DFT, PBE
State: relaxed

Output
The total energy comes out at -66.2 eV for the cell shown. Its uncorrected formation energy is -972 meV per atom.

Unit cell a=8.1255 b=9.2105 c=10.2621 alpha=108.34 beta=90.00 gamma=116.17
Closest atoms and distances in Å follow each position.
Fractional coordinates of all 19 atoms:
Ca  0.1031  0.7156  0.9049  1 F 2.33
Ca  0.8749  0.2928  0.5462  3 Sn 3.17-3.25, 1 Ca 3.46
Ca  0.6125  0.7156  0.9049  1 F 2.33
Ca  0.1516  0.3032  0.8088  3 Sn 3.28-3.42, 4 Ca 3.46-3.60
Ca  0.4179  0.2928  0.5462  3 Sn 3.17-3.25, 1 Ca 3.46
Ca  0.8484  0.6968  0.1912  3 Sn 3.28-3.42, 4 Ca 3.46-3.60
Ca  0.8969  0.2844  0.0951  1 F 2.33
Ca  0.5821  0.7072  0.4538  3 Sn 3.17-3.25, 1 Ca 3.46
Ca  0.5043  0.0087  0.8016  2 F 2.45
Ca  0.1251  0.7072  0.4538  3 Sn 3.17-3.25, 1 Ca 3.46
Ca  0.4957  0.9913  0.1984  2 F 2.45
Ca  0.3875  0.2844  0.0951  1 F 2.33
Sn  0.0000  0.0000  0.5000  6 Ca 3.18-3.28
Sn  0.2996  0.5991  0.6596  8 Ca 3.14-3.31
Sn  0.6991  0.3982  0.8608  4 Ca 3.06-3.42
Sn  0.3009  0.6018  0.1392  4 Ca 3.06-3.42
Sn  0.7004  0.4009  0.3404  8 Ca 3.14-3.31
F  0.3362  0.0000  0.0000  4 Ca 2.33-2.45
F  0.6638  0.0000  0.0000  4 Ca 2.33-2.45